(1)
MgCdP2, single point on PBEsol structure, DFT meta-GGA SCAN; N(E_F) = 1.2 states/eV/f.u.; ΔH_f (0 K) = 225.6 meV per atom; VASP energy = -13.8208 eV/atom; symmetry = No. 166
1.0
2.903 0.000 0.000
-1.452 2.514 0.000
0.000 0.000 29.727
Mg Cd P
3 3 6
Cartesian
0.000 0.000 0.000
0.000 1.676 19.818
1.452 0.838 9.909
0.000 0.000 14.863
0.000 1.676 4.954
1.452 0.838 24.772
0.000 0.000 7.852
0.000 0.000 21.875
0.000 1.676 11.966
0.000 1.676 27.670
1.452 0.838 2.057
1.452 0.838 17.761


(2)
CdAu2Cl, single point on PBEsol structure, DFT meta-GGA SCAN; N(E_F) = 1.1 states/eV/f.u.; uncorrected formation energy = -0.05 eV/atom; VASP energy = -44.2232 eV/atom; symmetry = No. 166
1.0
3.192 0.000 0.000
-1.596 2.764 0.000
0.000 0.000 25.265
Cd Au Cl
3 6 3
Cartesian
0.000 0.000 0.000
0.000 1.843 16.843
1.596 0.921 8.421
0.000 0.000 6.320
0.000 0.000 18.944
0.000 1.843 10.523
0.000 1.843 23.163
1.596 0.921 2.101
1.596 0.921 14.742
0.000 0.000 12.632
0.000 1.843 4.211
1.596 0.921 21.054


(3)
VReO4, single point on PBEsol structure, DFT meta-GGA SCAN; N(E_F) = 2.2 states/eV/f.u.; uncorrected formation energy = -2.07 eV/atom; VASP energy = -20.9859 eV/atom; symmetry = No. 63
1.0
2.728 -6.619 0.000
2.728 6.619 0.000
0.000 0.000 6.778
V Re O
4 4 16
Cartesian
2.728 5.015 5.084
2.728 1.704 1.695
2.728 -1.704 5.084
2.728 -5.015 1.695
1.495 1.658 5.084
1.495 -1.658 1.695
3.962 1.658 5.084
3.962 -1.658 1.695
1.307 3.013 1.695
2.728 4.978 0.341
2.728 4.978 3.048
1.391 0.296 1.695
1.391 -0.296 5.084
2.728 1.682 3.547
2.728 1.682 6.621
1.307 -3.013 5.084
4.150 3.013 1.695
2.728 -1.682 0.158
2.728 -1.682 3.232
4.065 0.296 1.695
4.065 -0.296 5.084
2.728 -4.978 3.730
2.728 -4.978 6.437
4.150 -3.013 5.084


(4)
CuHgP2S, single point on PBEsol structure, DFT meta-GGA SCAN; N(E_F) = 4.9 states/eV/f.u.; uncorrected formation energy = 0.86 eV/atom; VASP energy = -21.8981 eV/atom; symmetry = No. 123
1.0
4.474 0.000 0.000
0.000 4.474 0.000
0.000 0.000 4.583
Cu Hg P S
1 1 2 1
Cartesian
0.000 0.000 0.000
2.237 2.237 2.291
0.000 2.237 0.000
2.237 0.000 0.000
0.000 0.000 2.291


(5)
WO2F, single point on PBEsol structure, DFT meta-GGA SCAN; N(E_F) = 1.1 states/eV/f.u.; uncorrected formation energy = -2.34 eV/atom; VASP energy = -23.7669 eV/atom; symmetry = No. 74
1.0
5.531 0.000 0.000
0.000 7.548 0.000
0.000 0.000 5.549
W O F
4 8 4
Cartesian
0.000 1.887 0.156
0.000 5.661 5.393
2.765 1.887 2.619
2.765 5.661 2.930
0.000 0.000 0.000
0.000 3.774 0.000
1.383 1.887 1.387
1.383 5.661 4.161
2.765 0.000 2.774
2.765 3.774 2.774
4.148 1.887 1.387
4.148 5.661 4.161
1.383 1.887 4.161
1.383 5.661 1.387
4.148 1.887 4.161
4.148 5.661 1.387


(6)
In2IrPt, single point on PBEsol structure, DFT meta-GGA SCAN; N(E_F) = 3.0 states/eV/f.u.; ΔH_f (0 K) = 102.7 meV per atom; VASP energy = -51.9136 eV/atom; symmetry = No. 99
1.0
2.977 0.000 0.000
0.000 2.977 0.000
0.000 0.000 8.116
In Ir Pt
2 1 1
Cartesian
0.000 0.000 0.000
1.489 1.489 2.639
0.000 0.000 4.430
1.489 1.489 6.245


(7)
KRbNa3, single point on PBEsol structure, DFT meta-GGA SCAN; N(E_F) = 3.4 states/eV/f.u.; ΔH_f (0 K) = 309.9 meV per atom; VASP energy = -8.0327 eV/atom; symmetry = No. 221
1.0
6.907 0.000 0.000
0.000 6.907 0.000
0.000 0.000 6.907
K Rb Na
1 1 3
Cartesian
0.000 0.000 0.000
3.454 3.454 3.454
0.000 3.454 3.454
3.454 0.000 3.454
3.454 3.454 0.000


(8)
TlZnBi2, single point on PBEsol structure, DFT meta-GGA SCAN; N(E_F) = 2.0 states/eV/f.u.; ΔH_f (0 K) = 155.7 meV per atom; VASP energy = -60.6025 eV/atom; symmetry = No. 122
1.0
6.168 0.000 0.000
0.000 6.168 0.000
0.000 0.000 14.334
Tl Zn Bi
4 4 8
Cartesian
0.000 0.000 0.000
0.000 3.084 3.584
3.084 0.000 10.751
3.084 3.084 7.167
0.000 0.000 7.167
0.000 3.084 10.751
3.084 0.000 3.584
3.084 3.084 0.000
1.278 1.542 8.959
1.542 4.363 12.543
1.542 4.890 5.375
1.806 1.542 1.792
4.363 4.626 1.792
4.626 1.278 5.375
4.626 1.806 12.543
4.890 4.626 8.959


(9)
OsPtC3, single point on PBEsol structure, DFT meta-GGA SCAN; N(E_F) = 2.1 states/eV/f.u.; ΔH_f (0 K) = 3036.4 meV per atom; VASP energy = -31.4381 eV/atom; symmetry = No. 221
1.0
3.894 0.000 0.000
0.000 3.894 0.000
0.000 0.000 3.894
Os Pt C
1 1 3
Cartesian
0.000 0.000 0.000
1.947 1.947 1.947
0.000 1.947 1.947
1.947 0.000 1.947
1.947 1.947 0.000


(10)
Zr2TlAu, single point on PBEsol structure, DFT meta-GGA SCAN; N(E_F) = 3.4 states/eV/f.u.; ΔH_f (0 K) = -464.8 meV per atom; VASP energy = -51.1930 eV/atom; symmetry = No. 139
1.0
4.381 0.000 0.000
0.000 4.381 0.000
0.000 0.000 8.418
Zr Tl Au
4 2 2
Cartesian
0.000 2.190 2.104
0.000 2.190 6.313
2.190 0.000 2.104
2.190 0.000 6.313
0.000 0.000 0.000
2.190 2.190 4.209
0.000 0.000 4.209
2.190 2.190 0.000


(11)
Co2AsAu, single point on PBEsol structure, DFT meta-GGA SCAN; N(E_F) = 2.1 states/eV/f.u.; ΔH_f (0 K) = 158.7 meV per atom; VASP energy = -30.8304 eV/atom; symmetry = No. 25
1.0
2.757 0.000 0.000
0.000 3.403 0.000
0.000 0.000 5.875
Co As Au
2 1 1
Cartesian
0.000 0.000 0.000
1.379 1.701 1.112
0.000 0.000 2.343
1.379 1.701 4.351


(12)
CsAl3Si3O12, single point on PBEsol structure, DFT meta-GGA SCAN; N(E_F) = 0.0 states/eV/f.u.; uncorrected formation energy = -2.93 eV/atom; VASP energy = -11.6588 eV/atom; symmetry = No. 9
1.0
4.584 -2.651 0.000
4.584 2.651 0.000
-3.581 0.000 21.563
Cs Al Si O
2 6 6 24
Cartesian
2.793 2.047 10.781
4.584 -2.047 0.000
1.040 1.201 15.917
2.990 0.521 2.455
4.509 1.139 5.147
1.200 -0.521 13.237
2.831 -1.201 5.136
2.718 -1.139 15.929
-0.490 0.623 18.680
1.300 -0.623 7.898
2.522 0.532 18.685
6.007 0.609 2.397
4.313 -0.532 7.904
4.216 -0.609 13.178
3.355 2.449 5.910
0.584 0.786 8.339
2.300 2.442 15.378
-0.392 0.867 17.084
0.662 0.976 12.516
1.016 0.641 19.351
4.543 0.896 1.762
-1.206 -0.786 19.121
3.244 0.253 4.167
1.399 -0.867 6.302
1.453 -0.253 14.948
2.452 -0.976 1.735
2.372 0.291 17.101
5.050 0.780 8.587
5.979 0.841 4.056
4.653 0.896 12.799
2.807 -0.641 8.570
4.163 -0.291 6.319
2.752 -0.896 12.543
3.259 -0.780 19.368
4.189 -0.841 14.837
6.444 -0.896 2.018
1.564 -2.449 16.692
4.091 -2.442 4.596


(13)
TlFe2NCl, single point on PBEsol structure, DFT meta-GGA SCAN; N(E_F) = 2.9 states/eV/f.u.; uncorrected formation energy = 1.39 eV/atom; VASP energy = -23.7850 eV/atom; symmetry = No. 123
1.0
4.198 0.000 0.000
0.000 4.198 0.000
0.000 0.000 4.336
Tl Fe N Cl
1 2 1 1
Cartesian
0.000 0.000 0.000
0.000 2.099 2.168
2.099 0.000 2.168
2.099 2.099 0.000
2.099 2.099 2.168


(14)
Si3Br, single point on PBEsol structure, DFT meta-GGA SCAN; N(E_F) = 2.7 states/eV/f.u.; uncorrected formation energy = 1.21 eV/atom; VASP energy = -11.1687 eV/atom; symmetry = No. 221
1.0
4.143 0.000 0.000
0.000 4.143 0.000
0.000 0.000 4.143
Si Br
3 1
Cartesian
0.000 0.000 2.071
0.000 2.071 0.000
2.071 0.000 0.000
2.071 2.071 2.071


(15)
Na3AlS3, single point on PBEsol structure, DFT meta-GGA SCAN; N(E_F) = 0.0 states/eV/f.u.; uncorrected formation energy = -1.40 eV/atom; VASP energy = -8.4375 eV/atom; symmetry = No. 14
1.0
13.581 0.000 0.000
0.000 12.009 0.000
-1.226 0.000 7.503
Na Al S
24 8 24
Cartesian
0.190 2.962 0.002
-0.422 3.042 3.754
1.930 6.180 4.384
2.542 11.833 0.632
3.219 8.349 0.317
2.606 9.665 4.068
2.703 2.056 3.708
2.091 3.948 7.460
3.893 1.050 6.670
4.505 4.955 2.918
5.323 8.842 6.889
5.936 9.172 3.137
6.419 2.837 4.366
7.032 3.167 0.615
7.850 7.054 4.585
8.462 10.959 0.833
10.264 8.061 0.043
9.652 9.953 3.795
9.749 2.344 3.435
9.136 3.660 7.187
9.813 0.176 6.871
10.425 5.829 3.120
12.777 8.967 3.749
12.165 9.047 7.501
0.785 6.077 1.312
0.172 11.937 5.063
5.517 0.260 2.393
4.904 5.744 6.144
7.451 6.265 1.359
6.838 11.749 5.111
12.183 0.073 2.440
11.570 5.932 6.191
0.245 6.077 6.615
0.858 11.937 2.864
1.295 8.009 2.269
0.682 10.005 6.020
1.029 1.712 6.062
1.642 4.293 2.311
4.726 2.223 1.774
4.113 3.782 5.526
4.517 7.327 4.634
5.129 10.687 0.882
5.256 6.405 0.662
4.644 11.609 4.414
7.711 0.401 3.090
7.099 5.604 6.841
7.226 1.323 6.621
7.838 4.682 2.869
8.242 8.228 1.977
7.629 9.786 5.729
10.713 7.716 5.193
11.326 10.298 1.441
11.673 2.005 1.483
11.060 4.000 5.234
11.497 0.073 4.640
12.110 5.932 0.888


(16)
LiPtRhCl2, single point on PBEsol structure, DFT meta-GGA SCAN; N(E_F) = 3.9 states/eV/f.u.; uncorrected formation energy = 0.48 eV/atom; VASP energy = -23.9846 eV/atom; symmetry = No. 123
1.0
4.530 0.000 0.000
0.000 4.530 0.000
0.000 0.000 4.599
Li Pt Rh Cl
1 1 1 2
Cartesian
0.000 0.000 0.000
2.265 2.265 0.000
0.000 0.000 2.299
0.000 2.265 2.299
2.265 0.000 2.299


(17)
HfCr2Bi2, single point on PBEsol structure, DFT meta-GGA SCAN; N(E_F) = 2.7 states/eV/f.u.; ΔH_f (0 K) = 604.5 meV per atom; VASP energy = -50.7158 eV/atom; symmetry = No. 139
1.0
4.932 0.000 0.000
0.000 4.932 0.000
0.000 0.000 8.208
Hf Cr Bi
2 4 4
Cartesian
0.000 0.000 0.000
2.466 2.466 4.104
0.000 0.000 3.160
0.000 0.000 5.047
2.466 2.466 0.944
2.466 2.466 7.264
0.000 2.466 2.052
0.000 2.466 6.156
2.466 0.000 2.052
2.466 0.000 6.156


(18)
Se2Br, single point on PBEsol structure, DFT meta-GGA SCAN; N(E_F) = 1.8 states/eV/f.u.; uncorrected formation energy = 0.25 eV/atom; VASP energy = -19.6254 eV/atom; symmetry = No. 58
1.0
6.209 0.000 0.000
0.000 8.470 0.000
0.000 0.000 3.584
Se Br
4 2
Cartesian
0.882 0.646 0.000
2.222 4.881 1.792
3.987 3.589 1.792
5.326 7.824 0.000
0.000 4.235 0.000
3.104 0.000 1.792


(19)
BeS2ClO, single point on PBEsol structure, DFT meta-GGA SCAN; N(E_F) = 3.4 states/eV/f.u.; uncorrected formation energy = 0.69 eV/atom; VASP energy = -6.8735 eV/atom; symmetry = No. 123
1.0
4.228 0.000 0.000
0.000 4.228 0.000
0.000 0.000 4.263
Be S Cl O
1 2 1 1
Cartesian
0.000 0.000 0.000
0.000 2.114 0.000
2.114 0.000 0.000
0.000 0.000 2.131
2.114 2.114 2.131


(20)
Al3CoCu, single point on PBEsol structure, DFT meta-GGA SCAN; N(E_F) = 1.3 states/eV/f.u.; ΔH_f (0 K) = 160.2 meV per atom; VASP energy = -10.9916 eV/atom; symmetry = No. 221
1.0
4.372 0.000 0.000
0.000 4.372 0.000
0.000 0.000 4.372
Al Co Cu
3 1 1
Cartesian
0.000 0.000 2.186
0.000 2.186 0.000
2.186 0.000 0.000
0.000 0.000 0.000
2.186 2.186 2.186


no.,size of the total moment (μB per formula unit)
1,0.00
2,0.00
3,0.00
4,0.02
5,0.00
6,0.00
7,0.00
8,0.00
9,0.00
10,0.00
11,3.31
12,0.07
13,5.96
14,0.00
15,0.00
16,0.47
17,1.77
18,0.00
19,3.80
20,0.00